## a
Material: P2Pb
Method: DFT, meta-GGA SCAN
State: PBEsol geometry

The density of states at the Fermi level is 0.255 states/eV per atom. The calculation puts the volume at 264 Å³/cell.

Cell and atoms, written as CIF:
```
data_P2Pb
_cell_length_a 3.2829
_cell_length_b 16.3632
_cell_length_c 4.9055
_cell_angle_alpha 90.00
_cell_angle_beta 90.00
_cell_angle_gamma 90.00
_space_group_name_H-M_alt 'C m c m'
_space_group_IT_number 63
_space_group_name_Hall '-C 2c 2'
loop_
_atom_site_label
_atom_site_fract_x
_atom_site_fract_y
_atom_site_fract_z
_atom_site_occupancy
P1 0.0000 0.0086 0.2500 1
P2 0.0000 0.4008 0.7500 1
Pb1 0.0000 0.3158 0.2500 1
```

---

## b
Material: P2Pb
Method: DFT, meta-GGA SCAN
State: PBEsol geometry

The density of states at the Fermi level is 0.167 states/eV per atom. The calculation puts the volume at 263 Å³/cell.

Cell and atoms, written as CIF:
```
data_P2Pb
_cell_length_a 15.5575
_cell_length_b 3.2822
_cell_length_c 5.1610
_cell_angle_alpha 90.00
_cell_angle_beta 92.34
_cell_angle_gamma 90.00
_space_group_name_H-M_alt 'C 1 2/m 1'
_space_group_IT_number 12
loop_
_space_group_symop_operation_xyz
'x,y,z'
'-x,-y,-z'
'-x,y,-z'
'x,-y,z'
'x+1/2,y+1/2,z'
'-x+1/2,-y+1/2,-z'
'-x+1/2,y+1/2,-z'
'x+1/2,-y+1/2,z'
loop_
_atom_site_label
_atom_site_fract_x
_atom_site_fract_y
_atom_site_fract_z
_atom_site_occupancy
P1 0.0090 0.0000 0.2178 1
P2 0.1048 0.5000 0.2395 1
Pb1 0.1837 0.5000 0.7471 1
```

---

## c
Material: P2Pb
Method: DFT, meta-GGA SCAN
State: PBEsol geometry

The density of states at the Fermi level is 0.554 states/eV per atom. The calculation puts the volume at 119 Å³/cell.

Cell and atoms, written as CIF:
```
data_P2Pb
_cell_length_a 4.8818
_cell_length_b 4.8818
_cell_length_c 5.7476
_cell_angle_alpha 90.00
_cell_angle_beta 90.00
_cell_angle_gamma 120.00
_space_group_name_H-M_alt 'P 63/m m c'
_space_group_IT_number 194
_space_group_name_Hall '-P 6c 2c'
loop_
_atom_site_label
_atom_site_fract_x
_atom_site_fract_y
_atom_site_fract_z
_atom_site_occupancy
P1 0.0000 0.0000 0.0000 1
P2 0.3333 0.6667 0.2500 1
Pb1 0.3333 0.6667 0.7500 1
```

---

## d
Material: P2Pb
Method: DFT, meta-GGA SCAN
State: PBEsol geometry

The density of states at the Fermi level is 0.366 states/eV per atom. The calculation puts the volume at 250 Å³/cell.

Cell and atoms, written as CIF:
```
data_P2Pb
_cell_length_a 4.1333
_cell_length_b 4.1333
_cell_length_c 14.6441
_cell_angle_alpha 90.00
_cell_angle_beta 90.00
_cell_angle_gamma 90.00
_space_group_name_H-M_alt 'I 41/a m d'
_space_group_IT_number 141
loop_
_space_group_symop_operation_xyz
'x,y,z'
'-x,-y,-z'
'-y+1/4,x+3/4,z+1/4'
'y+1/4,-x+3/4,-z+1/4'
'-x+1/2,-y,z+1/2'
'x+1/2,y,-z+1/2'
'y+1/4,-x+1/4,z+3/4'
'-y+1/4,x+1/4,-z+3/4'
'x,-y,-z'
'-x,y,z'
'-y+1/4,-x+1/4,-z+3/4'
'y+1/4,x+1/4,z+3/4'
'-x+1/2,y,-z+1/2'
'x+1/2,-y,z+1/2'
'y+1/4,x+3/4,-z+1/4'
'-y+1/4,-x+3/4,z+1/4'
'x+1/2,y+1/2,z+1/2'
'-x+1/2,-y+1/2,-z+1/2'
'-y+3/4,x+1/4,z+3/4'
'y+3/4,-x+1/4,-z+3/4'
'-x,-y+1/2,z'
'x,y+1/2,-z'
'y+3/4,-x+3/4,z+1/4'
'-y+3/4,x+3/4,-z+1/4'
'x+1/2,-y+1/2,-z+1/2'
'-x+1/2,y+1/2,z+1/2'
'-y+3/4,-x+3/4,-z+1/4'
'y+3/4,x+3/4,z+1/4'
'-x,y+1/2,-z'
'x,-y+1/2,z'
'y+3/4,x+1/4,-z+3/4'
'-y+3/4,-x+1/4,z+3/4'
loop_
_atom_site_label
_atom_site_fract_x
_atom_site_fract_y
_atom_site_fract_z
_atom_site_occupancy
P1 0.0000 0.2500 0.2948 1
Pb1 0.0000 0.2500 0.8750 1
```

---

Short version: b is the most stable of them.

---

## a
Material: SbP2Pb
Method: DFT, meta-GGA SCAN
State: PBEsol geometry

The density of states at the Fermi level is 0.568 states/eV per atom. The calculation puts the volume at 83 Å³/cell.

Cell and atoms, written as CIF:
```
data_SbP2Pb
_cell_length_a 4.9214
_cell_length_b 4.9214
_cell_length_c 3.4404
_cell_angle_alpha 90.00
_cell_angle_beta 90.00
_cell_angle_gamma 90.00
_space_group_name_H-M_alt 'P 4/m m m'
_space_group_IT_number 123
_space_group_name_Hall '-P 4 2'
loop_
_atom_site_label
_atom_site_fract_x
_atom_site_fract_y
_atom_site_fract_z
_atom_site_occupancy
Sb1 0.0000 0.0000 0.0000 1
P1 0.0000 0.5000 0.5000 1
Pb1 0.5000 0.5000 0.0000 1
```

---

## b
Material: SbP2Pb
Method: DFT, meta-GGA SCAN
State: PBEsol geometry

The density of states at the Fermi level is 0.427 states/eV per atom. The calculation puts the volume at 172 Å³/cell.

Cell and atoms, written as CIF:
```
data_SbP2Pb
_cell_length_a 3.2923
_cell_length_b 5.3230
_cell_length_c 9.8380
_cell_angle_alpha 90.00
_cell_angle_beta 90.00
_cell_angle_gamma 90.00
_space_group_name_H-M_alt 'I m m 2'
_space_group_IT_number 44
loop_
_space_group_symop_operation_xyz
'x,y,z'
'-x,-y,z'
'-x,y,z'
'x,-y,z'
'x+1/2,y+1/2,z+1/2'
'-x+1/2,-y+1/2,z+1/2'
'-x+1/2,y+1/2,z+1/2'
'x+1/2,-y+1/2,z+1/2'
loop_
_atom_site_label
_atom_site_fract_x
_atom_site_fract_y
_atom_site_fract_z
_atom_site_occupancy
Sb1 0.0000 0.0000 0.0000 1
P1 0.0000 0.0000 0.5885 1
P2 0.0000 0.5000 0.2466 1
Pb1 0.0000 0.5000 0.8023 1
```

---

Short version: b is the most stable of them.